A relaxed AcGe5Rh2 crystal. Source: Alexandria, functional PBE.

Cell: 4.214 6.826 6.826 Å, 61.55 72.02 72.02°
Fractional coordinates of all 8 atoms:
Ac: 0.000 0.000 0.000
Ge: 0.346 0.861 0.447
Ge: 0.654 0.139 0.553
Ge: 0.654 0.553 0.139
Ge: 0.000 0.500 0.500
Ge: 0.346 0.447 0.861
Rh: 0.788 0.712 0.712
Rh: 0.212 0.288 0.288

- ΔH_f (0 K) (eV/f.u.) = -3.4
- size of the total moment (μB/cell) = 0.0